A relaxed In2FeHg crystal, computed with PBE.

a b c (Å): 4.4368 4.4368 4.2119
angles (deg): 90.00 90.00 90.00
Fractional coordinates of all 4 atoms:
In  0.0000  0.5000  0.0000
In  0.5000  0.0000  0.0000
Fe  0.0000  0.0000  0.5000
Hg  0.5000  0.5000  0.5000

Calculated values
Crystal system: tetragonal
M_tot in μB/atom: 0.722
Total energy in eV per cell: -12.7

A relaxed La2ErZn3Pt4 crystal, computed with PBE.

a b c (Å): 4.2241 4.2241 11.7004
angles (deg): 90.00 90.00 90.00
Fractional coordinates of all 10 atoms:
La  0.0000  0.5000  0.2268
La  0.5000  0.0000  0.7732
Er  0.0000  0.0000  0.5000
Zn  0.0000  0.5000  0.8757
Zn  0.5000  0.0000  0.1243
Zn  0.5000  0.5000  0.5000
Pt  0.0000  0.0000  0.0000
Pt  0.0000  0.5000  0.6568
Pt  0.5000  0.0000  0.3432
Pt  0.5000  0.5000  0.0000

Calculated values
Crystal system: tetragonal
M_tot in μB/atom: 0.000
Total energy in eV per cell: -51.1

A relaxed LaTlRe2 crystal, computed with PBE.

a b c (Å): 2.8615 2.8615 9.9715
angles (deg): 90.00 90.00 90.00
Fractional coordinates of all 4 atoms:
La  0.0000  0.0000  0.0000
Tl  0.0000  0.0000  0.5000
Re  0.5000  0.5000  0.2613
Re  0.5000  0.5000  0.7387

Calculated values
Crystal system: tetragonal
M_tot in μB/atom: 0.000
Energy relative to the lowest polymorph listed for this composition in meV per atom: 945
Total energy in eV per cell: -27.6

- Which value of M_tot does entry 1 give?
  0.722 μB/atom

- Among the records above, which one has the highest total energy?
  In2FeHg

Repeat the first record exactly.
A relaxed In2FeHg crystal, computed with PBE.

a b c (Å): 4.4368 4.4368 4.2119
angles (deg): 90.00 90.00 90.00
Fractional coordinates of all 4 atoms:
In  0.0000  0.5000  0.0000
In  0.5000  0.0000  0.0000
Fe  0.0000  0.0000  0.5000
Hg  0.5000  0.5000  0.5000

Calculated values
Crystal system: tetragonal
M_tot in μB/atom: 0.722
Total energy in eV per cell: -12.7